VASP calculation (PBE-GGA) on a geometry-optimized GaIr2Os structure.

Structure (POSCAR):
```
GaIr2Os
1.0
1.317 -3.933 1.449
0.128 -0.822 4.314
-2.904 -2.764 1.797
Os Ga Ir
1 1 2
direct
0.500 0.500 0.500 Os
0.000 0.000 0.000 Ga
0.750 0.750 0.750 Ir
0.250 0.250 0.250 Ir
```

Properties
DFT formation energy   0.355 eV per atom
Space group   Fm-3m (225)
E_tot   -7.639 eV/atom
Relative energy among the computed polymorphs   0.468 eV/atom